Entry 1:
Compound: Na5Y3Br12
Source: the Alexandria database
Functional: PBE
Structure: optimized geometry

```
data_Na5Y3Br12
_cell_length_a 17.0385
_cell_length_b 17.0385
_cell_length_c 17.0385
_cell_angle_alpha 90.00
_cell_angle_beta 90.00
_cell_angle_gamma 90.00
_symmetry_space_group_name_H-M 'I a -3 d'
_symmetry_Int_Tables_number 230
_symmetry_space_group_name_Hall '-I 4bd 2c 3'
loop_
_atom_site_label
_atom_site_type_symbol
_atom_site_fract_x
_atom_site_fract_y
_atom_site_fract_z
_atom_site_occupancy
Na1 Na 0.0000 0.0000 0.0000 1
Na2 Na 0.0000 0.2500 0.3750 1
Y1 Y 0.0000 0.2500 0.1250 1
Br1 Br 0.0209 0.0727 0.6534 1
```

Properties
- electronic total energy (eV per cell) = -599.1



Entry 2:
Compound: Na2YBr5
Source: the Alexandria database
Functional: PBE
Structure: optimized geometry

```
data_Na2YBr5
_cell_length_a 5.6706
_cell_length_b 14.6170
_cell_length_c 14.2983
_cell_angle_alpha 90.00
_cell_angle_beta 90.00
_cell_angle_gamma 90.00
_symmetry_space_group_name_H-M 'C m c m'
_symmetry_Int_Tables_number 63
_symmetry_space_group_name_Hall '-C 2c 2'
loop_
_atom_site_label
_atom_site_type_symbol
_atom_site_fract_x
_atom_site_fract_y
_atom_site_fract_z
_atom_site_occupancy
Na1 Na 0.0000 0.1486 0.0563 1
Y1 Y 0.0000 0.1844 0.7500 1
Br1 Br 0.0000 0.0464 0.6203 1
Br2 Br 0.0000 0.2805 0.2500 1
Br3 Br 0.0000 0.3078 0.5954 1
```

Properties
- electronic total energy (eV per cell) = -124.0



Entry 3:
Compound: NaY3Br
Source: the Alexandria database
Functional: PBE
Structure: optimized geometry

```
data_NaY3Br
_cell_length_a 5.6740
_cell_length_b 5.6740
_cell_length_c 5.6740
_cell_angle_alpha 90.00
_cell_angle_beta 90.00
_cell_angle_gamma 90.00
_symmetry_space_group_name_H-M 'P m -3 m'
_symmetry_Int_Tables_number 221
_symmetry_space_group_name_Hall '-P 4 2 3'
loop_
_atom_site_label
_atom_site_type_symbol
_atom_site_fract_x
_atom_site_fract_y
_atom_site_fract_z
_atom_site_occupancy
Na1 Na 0.0000 0.0000 0.0000 1
Y1 Y 0.0000 0.0000 0.5000 1
Br1 Br 0.5000 0.5000 0.5000 1
```

Properties
- electronic total energy (eV per cell) = -18.8



Entry 4:
Compound: NaYBr4
Source: the Alexandria database
Functional: PBE
Structure: optimized geometry

```
data_NaYBr4
_cell_length_a 6.9466
_cell_length_b 4.2037
_cell_length_c 7.5429
_cell_angle_alpha 90.00
_cell_angle_beta 91.99
_cell_angle_gamma 90.00
_symmetry_space_group_name_H-M 'P 1 2/m 1'
_symmetry_Int_Tables_number 10
loop_
_symmetry_equiv_pos_as_xyz
'x,y,z'
'-x,-y,-z'
'-x,y,-z'
'x,-y,z'
loop_
_atom_site_label
_atom_site_type_symbol
_atom_site_fract_x
_atom_site_fract_y
_atom_site_fract_z
_atom_site_occupancy
Na1 Na 0.0000 0.0000 0.0000 1
Y1 Y 0.0000 0.5000 0.5000 1
Br1 Br 0.2163 0.5000 0.1984 1
Br2 Br 0.2328 0.0000 0.6508 1
```

Properties
- electronic total energy (eV per cell) = -25.1



Entry 5:
Compound: NaYBr3
Source: the Alexandria database
Functional: PBE
Structure: optimized geometry

```
data_NaYBr3
_cell_length_a 5.2835
_cell_length_b 5.2835
_cell_length_c 5.2835
_cell_angle_alpha 90.00
_cell_angle_beta 90.00
_cell_angle_gamma 90.00
_symmetry_space_group_name_H-M 'P m -3 m'
_symmetry_Int_Tables_number 221
_symmetry_space_group_name_Hall '-P 4 2 3'
loop_
_atom_site_label
_atom_site_type_symbol
_atom_site_fract_x
_atom_site_fract_y
_atom_site_fract_z
_atom_site_occupancy
Na1 Na 0.0000 0.0000 0.0000 1
Y1 Y 0.5000 0.5000 0.5000 1
Br1 Br 0.0000 0.0000 0.5000 1
```

Properties
- electronic total energy (eV per cell) = -17.2



Entry 6:
Compound: NaZnBr3
Source: the Alexandria database
Functional: PBE
Structure: optimized geometry

```
data_NaZnBr3
_cell_length_a 5.4469
_cell_length_b 5.4469
_cell_length_c 5.4469
_cell_angle_alpha 90.00
_cell_angle_beta 90.00
_cell_angle_gamma 90.00
_symmetry_space_group_name_H-M 'P m -3 m'
_symmetry_Int_Tables_number 221
_symmetry_space_group_name_Hall '-P 4 2 3'
loop_
_atom_site_label
_atom_site_type_symbol
_atom_site_fract_x
_atom_site_fract_y
_atom_site_fract_z
_atom_site_occupancy
Na1 Na 0.0000 0.0000 0.0000 1
Zn1 Zn 0.5000 0.5000 0.5000 1
Br1 Br 0.0000 0.0000 0.5000 1
```

Properties
- electronic total energy (eV per cell) = -8.5



Entry 7:
Compound: Na3ZnBr
Source: the Alexandria database
Functional: PBE
Structure: optimized geometry

```
data_Na3ZnBr
_cell_length_a 5.6143
_cell_length_b 5.6143
_cell_length_c 5.6143
_cell_angle_alpha 90.00
_cell_angle_beta 90.00
_cell_angle_gamma 90.00
_symmetry_space_group_name_H-M 'P m -3 m'
_symmetry_Int_Tables_number 221
_symmetry_space_group_name_Hall '-P 4 2 3'
loop_
_atom_site_label
_atom_site_type_symbol
_atom_site_fract_x
_atom_site_fract_y
_atom_site_fract_z
_atom_site_occupancy
Na1 Na 0.0000 0.0000 0.5000 1
Zn1 Zn 0.5000 0.5000 0.5000 1
Br1 Br 0.0000 0.0000 0.0000 1
```

Properties
- electronic total energy (eV per cell) = -8.5



Entry 8:
Compound: Na4ZnBr6
Source: the Alexandria database
Functional: PBE
Structure: optimized geometry

```
data_Na4ZnBr6
_cell_length_a 13.8999
_cell_length_b 7.9294
_cell_length_c 14.2327
_cell_angle_alpha 90.00
_cell_angle_beta 111.73
_cell_angle_gamma 90.00
_symmetry_space_group_name_H-M 'C 1 c 1'
_symmetry_Int_Tables_number 9
loop_
_symmetry_equiv_pos_as_xyz
'x,y,z'
'x,-y,z+1/2'
'x+1/2,y+1/2,z'
'x+1/2,-y+1/2,z+1/2'
loop_
_atom_site_label
_atom_site_type_symbol
_atom_site_fract_x
_atom_site_fract_y
_atom_site_fract_z
_atom_site_occupancy
Na1 Na 0.0000 0.1022 0.0000 1
Na2 Na 0.1309 0.3250 0.3546 1
Na3 Na 0.3097 0.3640 0.6941 1
Na4 Na 0.3604 0.1139 0.0166 1
Zn1 Zn 0.0659 0.2236 0.7593 1
Br1 Br 0.1013 0.4695 0.6716 1
Br2 Br 0.1345 0.0293 0.2126 1
Br3 Br 0.1492 0.2866 0.9393 1
Br4 Br 0.3214 0.2380 0.5127 1
Br5 Br 0.3789 0.2825 0.2090 1
Br6 Br 0.4514 0.2866 0.8929 1
```

Properties
- electronic total energy (eV per cell) = -125.9



Entry 9:
Compound: Na3Zn5Br12
Source: the Alexandria database
Functional: PBE
Structure: optimized geometry

```
data_Na3Zn5Br12
_cell_length_a 16.7212
_cell_length_b 16.7212
_cell_length_c 16.7212
_cell_angle_alpha 90.00
_cell_angle_beta 90.00
_cell_angle_gamma 90.00
_symmetry_space_group_name_H-M 'I a -3 d'
_symmetry_Int_Tables_number 230
_symmetry_space_group_name_Hall '-I 4bd 2c 3'
loop_
_atom_site_label
_atom_site_type_symbol
_atom_site_fract_x
_atom_site_fract_y
_atom_site_fract_z
_atom_site_occupancy
Na1 Na 0.0000 0.2500 0.1250 1
Zn1 Zn 0.0000 0.0000 0.0000 1
Zn2 Zn 0.0000 0.2500 0.3750 1
Br1 Br 0.0305 0.0548 0.6506 1
```

Properties
- electronic total energy (eV per cell) = -395.6



Entry 10:
Compound: Na2ZnBr
Source: the Alexandria database
Functional: PBE
Structure: optimized geometry

```
data_Na2ZnBr
_cell_length_a 8.0420
_cell_length_b 8.0420
_cell_length_c 7.7062
_cell_angle_alpha 90.00
_cell_angle_beta 90.00
_cell_angle_gamma 90.00
_symmetry_space_group_name_H-M 'I -4 2 d'
_symmetry_Int_Tables_number 122
_symmetry_space_group_name_Hall 'I -4 2bw'
loop_
_atom_site_label
_atom_site_type_symbol
_atom_site_fract_x
_atom_site_fract_y
_atom_site_fract_z
_atom_site_occupancy
Na1 Na 0.2222 0.2500 0.1250 1
Zn1 Zn 0.0000 0.0000 0.5000 1
Br1 Br 0.0000 0.0000 0.0000 1
```

Properties
- electronic total energy (eV per cell) = -29.7



Entry 11:
Compound: NaZnBr3
Source: the Alexandria database
Functional: PBE
Structure: optimized geometry

```
data_NaZnBr3
_cell_length_a 5.2889
_cell_length_b 7.5126
_cell_length_c 9.5135
_cell_angle_alpha 72.10
_cell_angle_beta 88.95
_cell_angle_gamma 71.61
_symmetry_space_group_name_H-M 'P 1'
_symmetry_Int_Tables_number 1
loop_
_symmetry_equiv_pos_as_xyz
'x,y,z'
loop_
_atom_site_label
_atom_site_type_symbol
_atom_site_fract_x
_atom_site_fract_y
_atom_site_fract_z
_atom_site_occupancy
Na1 Na 0.0000 0.0000 0.0000 1
Na2 Na 0.1675 0.2841 0.2666 1
Zn1 Zn 0.0862 0.5744 0.8505 1
Zn2 Zn 0.9623 0.8936 0.5067 1
Br1 Br 0.2249 0.8712 0.7394 1
Br2 Br 0.2462 0.8635 0.3076 1
Br3 Br 0.3980 0.2427 0.9622 1
Br4 Br 0.6604 0.2272 0.4304 1
Br5 Br 0.8248 0.6468 0.0502 1
Br6 Br 0.8654 0.5845 0.6204 1
```

Properties
- electronic total energy (eV per cell) = -26.4



Entry 12:
Compound: NaZnBr2
Source: the Alexandria database
Functional: PBE
Structure: optimized geometry

```
data_NaZnBr2
_cell_length_a 4.2737
_cell_length_b 4.2737
_cell_length_c 25.2307
_cell_angle_alpha 90.00
_cell_angle_beta 90.00
_cell_angle_gamma 120.00
_symmetry_space_group_name_H-M 'R -3 m'
_symmetry_Int_Tables_number 166
_symmetry_space_group_name_Hall '-R 3 2"'
loop_
_atom_site_label
_atom_site_type_symbol
_atom_site_fract_x
_atom_site_fract_y
_atom_site_fract_z
_atom_site_occupancy
Na1 Na 0.0000 0.0000 0.0000 1
Zn1 Zn 0.0000 0.0000 0.5000 1
Br1 Br 0.0000 0.0000 0.3994 1
```

Properties
- electronic total energy (eV per cell) = -26.4



Entry 13:
Compound: NaZnBr2
Source: the Alexandria database
Functional: PBE
Structure: optimized geometry

```
data_NaZnBr2
_cell_length_a 3.8816
_cell_length_b 3.8816
_cell_length_c 28.2469
_cell_angle_alpha 90.00
_cell_angle_beta 90.00
_cell_angle_gamma 120.00
_symmetry_space_group_name_H-M 'R -3 m'
_symmetry_Int_Tables_number 166
_symmetry_space_group_name_Hall '-R 3 2"'
loop_
_atom_site_label
_atom_site_type_symbol
_atom_site_fract_x
_atom_site_fract_y
_atom_site_fract_z
_atom_site_occupancy
Na1 Na 0.0000 0.0000 0.0000 1
Zn1 Zn 0.0000 0.0000 0.5000 1
Br1 Br 0.0000 0.0000 0.1131 1
```

Properties
- electronic total energy (eV per cell) = -24.4



Entry 14:
Compound: NaZnBr3
Source: the Alexandria database
Functional: PBE
Structure: optimized geometry

```
data_NaZnBr3
_cell_length_a 5.2371
_cell_length_b 5.2371
_cell_length_c 5.2371
_cell_angle_alpha 90.00
_cell_angle_beta 90.00
_cell_angle_gamma 90.00
_symmetry_space_group_name_H-M 'P m -3 m'
_symmetry_Int_Tables_number 221
_symmetry_space_group_name_Hall '-P 4 2 3'
loop_
_atom_site_label
_atom_site_type_symbol
_atom_site_fract_x
_atom_site_fract_y
_atom_site_fract_z
_atom_site_occupancy
Na1 Na 0.0000 0.0000 0.0000 1
Zn1 Zn 0.5000 0.5000 0.5000 1
Br1 Br 0.0000 0.5000 0.5000 1
```

Properties
- electronic total energy (eV per cell) = -12.2



Entry 15:
Compound: NaZnBr2
Source: the Alexandria database
Functional: PBE
Structure: optimized geometry

```
data_NaZnBr2
_cell_length_a 7.3606
_cell_length_b 7.3606
_cell_length_c 7.3606
_cell_angle_alpha 90.00
_cell_angle_beta 90.00
_cell_angle_gamma 90.00
_symmetry_space_group_name_H-M 'F m -3 m'
_symmetry_Int_Tables_number 225
_symmetry_space_group_name_Hall '-F 4 2 3'
loop_
_atom_site_label
_atom_site_type_symbol
_atom_site_fract_x
_atom_site_fract_y
_atom_site_fract_z
_atom_site_occupancy
Na1 Na 0.0000 0.0000 0.0000 1
Zn1 Zn 0.0000 0.0000 0.5000 1
Br1 Br 0.2500 0.2500 0.2500 1
```

Properties
- electronic total energy (eV per cell) = -33.9



Entry 16:
Compound: Na2Zn4Br
Source: the Alexandria database
Functional: PBE
Structure: optimized geometry

```
data_Na2Zn4Br
_cell_length_a 6.1659
_cell_length_b 6.1659
_cell_length_c 14.5663
_cell_angle_alpha 90.00
_cell_angle_beta 90.00
_cell_angle_gamma 90.00
_symmetry_space_group_name_H-M 'I 4/m m m'
_symmetry_Int_Tables_number 139
_symmetry_space_group_name_Hall '-I 4 2'
loop_
_atom_site_label
_atom_site_type_symbol
_atom_site_fract_x
_atom_site_fract_y
_atom_site_fract_z
_atom_site_occupancy
Na1 Na 0.0000 0.0000 0.1090 1
Zn1 Zn 0.0000 0.0000 0.3091 1
Zn2 Zn 0.0000 0.5000 0.0000 1
Br1 Br 0.0000 0.0000 0.5000 1
```

Properties
- electronic total energy (eV per cell) = -14.5



Entry 17:
Compound: NaZnBr2
Source: the Alexandria database
Functional: PBE
Structure: optimized geometry

```
data_NaZnBr2
_cell_length_a 6.1767
_cell_length_b 6.1767
_cell_length_c 14.5352
_cell_angle_alpha 90.00
_cell_angle_beta 90.00
_cell_angle_gamma 90.00
_symmetry_space_group_name_H-M 'I -4 2 d'
_symmetry_Int_Tables_number 122
_symmetry_space_group_name_Hall 'I -4 2bw'
loop_
_atom_site_label
_atom_site_type_symbol
_atom_site_fract_x
_atom_site_fract_y
_atom_site_fract_z
_atom_site_occupancy
Na1 Na 0.0000 0.0000 0.0000 1
Zn1 Zn 0.0000 0.0000 0.5000 1
Br1 Br 0.2199 0.2500 0.6250 1
```

Properties
- electronic total energy (eV per cell) = -36.4



| no. | formation energy from raw total energies (meV/atom) |
| --- | --- |
| 1 | -1441 |
| 2 | -1690 |
| 3 | 709 |
| 4 | -1766 |
| 5 | -873 |
| 6 | -178 |
| 7 | -319 |
| 8 | -1353 |
| 9 | -952 |
| 10 | -463 |
| 11 | -1119 |
| 12 | -718 |
| 13 | -546 |
| 14 | -925 |
| 15 | -636 |
| 16 | 305 |
| 17 | -788 |